Computed, not measured: crystalline KCoNO at its relaxed geometry at the PBE with a Hubbard U level of DFT.

Geometry as CIF:
```
data_KCoNO
_space_group_name_H-M_alt 'P c a 21'
_space_group_IT_number 29
_cell_length_a 6.024
_cell_length_b 7.760
_cell_length_c 5.417
_cell_angle_alpha 90.00
_cell_angle_beta 90.00
_cell_angle_gamma 90.00
loop_
_space_group_symop_operation_xyz
'x,y,z'
'-x,-y,z+1/2'
'-x+1/2,y,z+1/2'
'x+1/2,-y,z'
loop_
_atom_site_label
_atom_site_fract_x
_atom_site_fract_y
_atom_site_fract_z
K1 0.059 0.170 0.000
Co1 0.099 0.603 0.017
N1 0.037 0.811 0.993
O1 0.140 0.514 0.657
```

Values from the calculation:
* E_tot: -79.5 eV/cell
* V: 253 Å³ per cell